Here is a relaxed Nd8ZnCd2 crystal from Alexandria. Energies are from PBE. Values from VASP.

The structure in Quantum ESPRESSO input format:
```
&SYSTEM
  ibrav = 0, nat = 11, ntyp = 3
/
ATOMIC_SPECIES
Nd 144.24 Nd.upf
Zn 65.41 Zn.upf
Cd 112.41 Cd.upf
CELL_PARAMETERS angstrom
-1.083 -2.056 4.868
0.093 -6.532 -2.737
9.314 2.737 0.239
ATOMIC_POSITIONS crystal
Nd 0.408 0.545 0.817
Nd 0.660 0.967 0.320
Nd 0.800 0.706 0.600
Nd 0.983 0.229 0.965
Nd 0.200 0.294 0.400
Nd 0.340 0.033 0.680
Nd 0.592 0.455 0.183
Nd 0.017 0.771 0.035
Zn 0.500 0.000 0.000
Cd 0.817 0.278 0.634
Cd 0.183 0.722 0.366
```

Summary:
ΔH_f (0 K): -2.76 kcal/mol of atoms
energy above the most stable polymorph in this dataset: 0.028 eV/atom
V: 31.2 A^3/atom
DOS at the Fermi energy: 1.10 states/eV per atom
total DFT energy (no corrections): -42.6 eV/f.u.

=====

Here is a relaxed NdZnCd crystal from Alexandria. Energies are from PBE. Values from VASP.

The structure in Quantum ESPRESSO input format:
```
&SYSTEM
  ibrav = 0, nat = 3, ntyp = 3
/
ATOMIC_SPECIES
Zn 65.41 Zn.upf
Nd 144.24 Nd.upf
Cd 112.41 Cd.upf
CELL_PARAMETERS angstrom
4.806 0.000 0.000
2.403 4.162 0.000
2.403 1.387 3.924
ATOMIC_POSITIONS crystal
Zn 0.250 0.250 0.250
Nd 0.000 0.000 0.000
Cd 0.500 0.500 0.500
```

Summary:
ΔH_f (0 K): -4.70 kcal/mol of atoms
V: 26.2 A^3/atom
DOS at the Fermi energy: 1.50 states/eV per atom
total DFT energy (no corrections): -7.6 eV/f.u.

=====

Here is a relaxed Nd3Zn2Cd7 crystal from Alexandria. Energies are from PBE. Values from VASP.

The structure in Quantum ESPRESSO input format:
```
&SYSTEM
  ibrav = 0, nat = 12, ntyp = 3
/
ATOMIC_SPECIES
Nd 144.24 Nd.upf
Zn 65.41 Zn.upf
Cd 112.41 Cd.upf
CELL_PARAMETERS angstrom
5.957 0.000 0.000
2.978 5.159 0.000
2.978 1.720 9.326
ATOMIC_POSITIONS crystal
Nd 0.000 0.000 0.000
Nd 0.860 0.860 0.420
Nd 0.140 0.140 0.580
Zn 0.665 0.665 0.004
Zn 0.335 0.335 0.996
Cd 0.500 0.500 0.500
Cd 0.926 0.417 0.240
Cd 0.417 0.926 0.240
Cd 0.417 0.417 0.240
Cd 0.074 0.583 0.760
Cd 0.583 0.583 0.760
Cd 0.583 0.074 0.760
```

Summary:
ΔH_f (0 K): -5.67 kcal/mol of atoms
V: 23.9 A^3/atom
DOS at the Fermi energy: 0.63 states/eV per atom
total DFT energy (no corrections): -26.2 eV/f.u.

=====

Here is a relaxed NdZn2Cd crystal from Alexandria. Energies are from PBE. Values from VASP.

The structure in Quantum ESPRESSO input format:
```
&SYSTEM
  ibrav = 0, nat = 4, ntyp = 3
/
ATOMIC_SPECIES
Zn 65.41 Zn.upf
Nd 144.24 Nd.upf
Cd 112.41 Cd.upf
CELL_PARAMETERS angstrom
3.474 0.000 0.000
0.000 3.474 0.000
0.000 0.000 7.206
ATOMIC_POSITIONS crystal
Zn 0.000 0.000 0.779
Zn 0.000 0.000 0.221
Nd 0.500 0.500 0.500
Cd 0.500 0.500 0.000
```

Summary:
ΔH_f (0 K): -3.41 kcal/mol of atoms
energy above the most stable polymorph in this dataset: 0.174 eV/atom
V: 21.7 A^3/atom
DOS at the Fermi energy: 0.50 states/eV per atom
total DFT energy (no corrections): -8.8 eV/f.u.

=====

Here is a relaxed NdZnCd crystal from Alexandria. Energies are from PBE. Values from VASP.

The structure in Quantum ESPRESSO input format:
```
&SYSTEM
  ibrav = 0, nat = 12, ntyp = 3
/
ATOMIC_SPECIES
Zn 65.41 Zn.upf
Cd 112.41 Cd.upf
Nd 144.24 Nd.upf
CELL_PARAMETERS angstrom
-1.119 0.264 9.396
-0.994 -8.914 3.025
4.755 4.065 -5.763
ATOMIC_POSITIONS crystal
Zn 0.176 0.176 0.351
Zn 0.824 0.824 0.649
Zn 0.074 0.574 0.149
Zn 0.426 0.926 0.851
Cd 0.625 0.875 0.250
Cd 0.625 0.375 0.750
Cd 0.625 0.375 0.250
Cd 0.125 0.375 0.750
Nd 0.433 0.933 0.500
Nd 0.183 0.183 0.000
Nd 0.067 0.567 0.500
Nd 0.817 0.817 0.000
```

Summary:
ΔH_f (0 K): -1.42 kcal/mol of atoms
V: 26.6 A^3/atom
DOS at the Fermi energy: 0.95 states/eV per atom
total DFT energy (no corrections): -7.1 eV/f.u.

=====

Here is a relaxed NdZn2Cd5 crystal from Alexandria. Energies are from PBE. Values from VASP.

The structure in Quantum ESPRESSO input format:
```
&SYSTEM
  ibrav = 0, nat = 8, ntyp = 3
/
ATOMIC_SPECIES
Nd 144.24 Nd.upf
Zn 65.41 Zn.upf
Cd 112.41 Cd.upf
CELL_PARAMETERS angstrom
-3.523 -2.101 0.414
1.252 -6.545 -2.033
0.611 -3.945 5.709
ATOMIC_POSITIONS crystal
Nd 0.000 0.000 0.000
Zn 0.733 0.767 0.767
Zn 0.267 0.233 0.233
Cd 0.000 0.500 0.500
Cd 0.646 0.549 0.160
Cd 0.354 0.451 0.840
Cd 0.354 0.840 0.451
Cd 0.646 0.160 0.549
```

Summary:
ΔH_f (0 K): -3.88 kcal/mol of atoms
V: 22.1 A^3/atom
DOS at the Fermi energy: 0.28 states/eV per atom
total DFT energy (no corrections): -13.2 eV/f.u.

=====

Here is a relaxed Nd2Zn6Cd crystal from Alexandria. Energies are from PBE. Values from VASP.

The structure in Quantum ESPRESSO input format:
```
&SYSTEM
  ibrav = 0, nat = 9, ntyp = 3
/
ATOMIC_SPECIES
Nd 144.24 Nd.upf
Zn 65.41 Zn.upf
Cd 112.41 Cd.upf
CELL_PARAMETERS angstrom
-3.181 4.052 -2.981
-1.281 -4.040 -4.125
-3.544 0.667 4.688
ATOMIC_POSITIONS crystal
Nd 0.843 0.667 0.333
Nd 0.157 0.333 0.667
Zn 0.346 0.361 0.181
Zn 0.346 0.819 0.639
Zn 0.346 0.819 0.181
Zn 0.654 0.639 0.819
Zn 0.654 0.181 0.361
Zn 0.654 0.181 0.819
Cd 0.000 0.000 0.000
```

Summary:
ΔH_f (0 K): -6.61 kcal/mol of atoms
V: 20.0 A^3/atom
DOS at the Fermi energy: 0.50 states/eV per atom
total DFT energy (no corrections): -20.7 eV/f.u.

=====

Here is a relaxed Nd3Zn2Cd2 crystal from Alexandria. Energies are from PBE. Values from VASP.

The structure in Quantum ESPRESSO input format:
```
&SYSTEM
  ibrav = 0, nat = 7, ntyp = 3
/
ATOMIC_SPECIES
Nd 144.24 Nd.upf
Zn 65.41 Zn.upf
Cd 112.41 Cd.upf
CELL_PARAMETERS angstrom
-0.511 1.177 -5.886
-3.238 -3.121 4.042
0.264 8.104 2.348
ATOMIC_POSITIONS crystal
Nd 0.000 0.000 0.000
Nd 0.276 0.002 0.639
Nd 0.724 0.998 0.361
Zn 0.463 0.282 0.372
Zn 0.537 0.718 0.628
Cd 0.836 0.459 0.146
Cd 0.164 0.541 0.854
```

Summary:
ΔH_f (0 K): -5.66 kcal/mol of atoms
V: 25.8 A^3/atom
DOS at the Fermi energy: 0.87 states/eV per atom
total DFT energy (no corrections): -20.4 eV/f.u.

=====

Here is a relaxed NdZn2Cd crystal from Alexandria. Energies are from PBE. Values from VASP.

The structure in Quantum ESPRESSO input format:
```
&SYSTEM
  ibrav = 0, nat = 4, ntyp = 3
/
ATOMIC_SPECIES
Zn 65.41 Zn.upf
Nd 144.24 Nd.upf
Cd 112.41 Cd.upf
CELL_PARAMETERS angstrom
4.908 0.000 0.000
2.454 4.251 0.000
2.454 1.417 4.008
ATOMIC_POSITIONS crystal
Zn 0.250 0.250 0.250
Zn 0.750 0.750 0.750
Nd 0.000 0.000 0.000
Cd 0.500 0.500 0.500
```

Summary:
ΔH_f (0 K): -7.43 kcal/mol of atoms
energy above the most stable polymorph in this dataset: 0.000 eV/atom
V: 20.9 A^3/atom
DOS at the Fermi energy: 0.29 states/eV per atom
total DFT energy (no corrections): -9.5 eV/f.u.

=====

Here is a relaxed Nd6ZnCd5 crystal from Alexandria. Energies are from PBE. Values from VASP.

The structure in Quantum ESPRESSO input format:
```
&SYSTEM
  ibrav = 0, nat = 12, ntyp = 3
/
ATOMIC_SPECIES
Zn 65.41 Zn.upf
Nd 144.24 Nd.upf
Cd 112.41 Cd.upf
CELL_PARAMETERS angstrom
5.122 -0.031 1.716
0.041 7.682 0.014
0.009 -0.015 8.558
ATOMIC_POSITIONS crystal
Zn 0.000 0.000 0.000
Nd 0.837 0.755 0.325
Nd 0.837 0.245 0.325
Nd 0.500 0.240 0.000
Nd 0.500 0.760 0.000
Nd 0.163 0.755 0.675
Nd 0.163 0.245 0.675
Cd 0.669 0.500 0.664
Cd 0.330 0.000 0.340
Cd 0.000 0.500 0.000
Cd 0.670 0.000 0.660
Cd 0.331 0.500 0.336
```

Summary:
ΔH_f (0 K): -7.17 kcal/mol of atoms
V: 28.1 A^3/atom
DOS at the Fermi energy: 1.34 states/eV per atom
total DFT energy (no corrections): -38.2 eV/f.u.

=====

Here is a relaxed Nd2Zn2Cd3 crystal from Alexandria. Energies are from PBE. Values from VASP.

The structure in Quantum ESPRESSO input format:
```
&SYSTEM
  ibrav = 0, nat = 7, ntyp = 3
/
ATOMIC_SPECIES
Nd 144.24 Nd.upf
Zn 65.41 Zn.upf
Cd 112.41 Cd.upf
CELL_PARAMETERS angstrom
-1.416 -0.345 -3.192
-1.366 -4.173 1.057
-8.486 6.010 3.115
ATOMIC_POSITIONS crystal
Nd 0.000 0.838 0.677
Nd 0.000 0.162 0.323
Zn 0.500 0.718 0.436
Zn 0.500 0.282 0.564
Cd 0.500 0.572 0.145
Cd 0.500 0.428 0.855
Cd 0.000 0.000 0.000
```

Summary:
ΔH_f (0 K): -5.51 kcal/mol of atoms
energy above the most stable polymorph in this dataset: 0.064 eV/atom
V: 24.0 A^3/atom
DOS at the Fermi energy: 0.84 states/eV per atom
total DFT energy (no corrections): -16.5 eV/f.u.

=====

Here is a relaxed NdZnCd11 crystal from Alexandria. Energies are from PBE. Values from VASP.

The structure in Quantum ESPRESSO input format:
```
&SYSTEM
  ibrav = 0, nat = 13, ntyp = 3
/
ATOMIC_SPECIES
Nd 144.24 Nd.upf
Zn 65.41 Zn.upf
Cd 112.41 Cd.upf
CELL_PARAMETERS angstrom
-5.369 2.201 1.240
-5.250 -5.401 0.676
-1.303 0.615 7.462
ATOMIC_POSITIONS crystal
Nd 0.000 0.000 0.000
Zn 0.500 0.500 0.000
Cd 0.295 0.218 0.211
Cd 0.705 0.782 0.789
Cd 0.494 0.782 0.211
Cd 0.506 0.218 0.789
Cd 0.356 0.646 0.654
Cd 0.644 0.354 0.346
Cd 0.990 0.354 0.654
Cd 0.010 0.646 0.346
Cd 0.000 0.500 0.000
Cd 0.500 0.000 0.500
Cd 0.000 0.000 0.500
```

Summary:
ΔH_f (0 K): -2.70 kcal/mol of atoms
V: 22.3 A^3/atom
DOS at the Fermi energy: 0.11 states/eV per atom
total DFT energy (no corrections): -17.6 eV/f.u.